1.
Below is crystalline DySb2As2Pd7 at its relaxed geometry, with properties calculated at the GGA-PBE level.

abc: 15.6281 15.6281 15.6281
angles: 165.37 165.37 20.75
With the nearest neighbours (Å) after each atom.
Positions (direct):
Dy  0.0000  0.0000  0.0000  12 Pd 2.81-2.96
Sb  0.2134  0.2134  0.0000  5 Pd 2.69-2.85
Sb  0.7866  0.7866  0.0000  5 Pd 2.69-2.85
As  0.3809  0.3809  0.0000  5 Pd 2.46-2.48
As  0.6191  0.6191  0.0000  5 Pd 2.46-2.48
Pd  0.0712  0.5712  0.5000  2 As 2.48
Pd  0.3008  0.3008  0.0000  1 As 2.46, 1 Sb 2.69
Pd  0.4288  0.9288  0.5000  2 As 2.48
Pd  0.5000  0.5000  0.0000  4 Dy 2.81, 8 Pd 2.96
Pd  0.5712  0.0712  0.5000  2 As 2.48
Pd  0.6992  0.6992  0.0000  1 As 2.46, 1 Sb 2.69
Pd  0.9288  0.4288  0.5000  2 As 2.48

Crystal system   tetragonal
Calculated volume   20.29 Å³/atom
Formation energy without anion corrections   -0.51 eV per atom
Uncorrected energy   -64.63 eV for the cell shown

***

2.
Below is crystalline Dy4Te2AsPd at its relaxed geometry, with properties calculated at the GGA-PBE level.

abc: 7.3820 4.1731 7.4409
angles: 90.00 108.87 90.00
With the nearest neighbours (Å) after each atom.
Positions (direct):
Dy  0.2350  0.0000  0.2152  2 Pd 2.85, 1 As 2.90, 3 Te 3.14-3.16
Dy  0.2616  0.5000  0.7785  2 As 2.88, 1 Pd 2.92, 3 Te 3.12-3.13
Dy  0.7384  0.5000  0.2215  2 As 2.88, 1 Pd 2.92, 3 Te 3.12-3.13
Dy  0.7650  0.0000  0.7848  2 Pd 2.85, 1 As 2.90, 3 Te 3.14-3.16
Te  0.0000  0.0000  0.5000  6 Dy 3.13-3.14
Te  0.5000  0.5000  0.5000  6 Dy 3.12-3.16
As  0.5000  0.0000  0.0000  6 Dy 2.88-2.90
Pd  0.0000  0.5000  0.0000  6 Dy 2.85-2.92

Crystal system   monoclinic
Calculated volume   27.11 Å³/atom
Formation energy without anion corrections   -1.24 eV per atom
Uncorrected energy   -44.45 eV for the cell shown

***

3.
Below is crystalline DyTe2As2Pd7 at its relaxed geometry, with properties calculated at the GGA-PBE level.

abc: 4.0245 4.0245 15.3023
angles: 97.48 97.48 89.98
With the nearest neighbours (Å) after each atom.
Positions (direct):
Dy  0.0000  0.0000  0.0000  12 Pd 2.85-2.95
Te  0.2083  0.2083  0.4184  5 Pd 2.70-2.86
Te  0.7917  0.7917  0.5816  5 Pd 2.70-2.86
As  0.3812  0.3812  0.7604  5 Pd 2.45-2.48
As  0.6188  0.6188  0.2396  5 Pd 2.45-2.48
Pd  0.0711  0.5710  0.1435  2 As 2.48
Pd  0.3000  0.3000  0.5977  1 As 2.45, 1 Te 2.70
Pd  0.4290  0.9289  0.8565  2 As 2.48
Pd  0.5000  0.5000  0.0000  4 Dy 2.85, 8 Pd 2.95
Pd  0.5710  0.0711  0.1435  2 As 2.48
Pd  0.7000  0.7000  0.4023  1 As 2.45, 1 Te 2.70
Pd  0.9289  0.4290  0.8565  2 As 2.48

Crystal system   monoclinic
Calculated volume   20.30 Å³/atom
Formation energy without anion corrections   -0.52 eV per atom
Uncorrected energy   -62.75 eV for the cell shown

***

4.
Below is crystalline Pm3DyAs4 at its relaxed geometry, with properties calculated at the GGA-PBE level.

abc: 5.9511 5.9511 5.9511
angles: 90.00 90.00 90.00
With the nearest neighbours (Å) after each atom.
Positions (direct):
Pm  0.0000  0.0000  0.5000  6 As 2.98
Pm  0.0000  0.5000  0.0000  6 As 2.98
Pm  0.5000  0.0000  0.0000  6 As 2.98
Dy  0.5000  0.5000  0.5000  6 As 2.98
As  0.0000  0.0000  0.0000  6 Pm 2.98
As  0.0000  0.5000  0.5000  2 Dy 2.98, 4 Pm 2.98
As  0.5000  0.0000  0.5000  2 Dy 2.98, 4 Pm 2.98
As  0.5000  0.5000  0.0000  2 Dy 2.98, 4 Pm 2.98

Crystal system   cubic
Calculated volume   26.35 Å³/atom
Formation enthalpy at 0 K   -1.525 eV per atom
Uncorrected energy   -49.65 eV for the cell shown

***

5.
Below is crystalline Pm3DyAs4 at its relaxed geometry, with properties calculated at the GGA-PBE level.

abc: 8.4172 11.9023 4.2118
angles: 90.00 90.00 90.00
With the nearest neighbours (Å) after each atom.
Positions (direct):
Pm  0.0000  0.0000  0.0000  6 As 3.01
Pm  0.2500  0.2500  0.5000  6 As 2.98
Pm  0.2500  0.7500  0.5000  6 As 2.98
Pm  0.5000  0.5000  0.0000  6 As 3.01
Pm  0.7500  0.2500  0.5000  6 As 2.98
Pm  0.7500  0.7500  0.5000  6 As 2.98
Dy  0.0000  0.5000  0.0000  6 As 2.95
Dy  0.5000  0.0000  0.0000  6 As 2.95
As  0.0000  0.2525  0.0000  1 Dy 2.95, 5 Pm 2.98-3.01
As  0.0000  0.7475  0.0000  1 Dy 2.95, 5 Pm 2.98-3.01
As  0.2452  0.5000  0.5000  2 Dy 2.95, 4 Pm 2.98-3.01
As  0.2548  0.0000  0.5000  2 Dy 2.95, 4 Pm 2.98-3.01
As  0.5000  0.2475  0.0000  1 Dy 2.95, 5 Pm 2.98-3.01
As  0.5000  0.7525  0.0000  1 Dy 2.95, 5 Pm 2.98-3.01
As  0.7452  0.0000  0.5000  2 Dy 2.95, 4 Pm 2.98-3.01
As  0.7548  0.5000  0.5000  2 Dy 2.95, 4 Pm 2.98-3.01

Crystal system   orthorhombic
Calculated volume   26.37 Å³/atom
Formation enthalpy at 0 K   -1.526 eV per atom
Uncorrected energy   -99.31 eV for the cell shown

***

6.
Below is crystalline Pm4DyAs5 at its relaxed geometry, with properties calculated at the GGA-PBE level.

abc: 7.3024 7.3024 7.3024
angles: 99.60 99.60 131.80
With the nearest neighbours (Å) after each atom.
Positions (direct):
Pm  0.0990  0.2999  0.3989  6 As 2.98-3.01
Pm  0.2999  0.9010  0.2010  6 As 2.98-3.01
Pm  0.7001  0.0990  0.7990  6 As 2.98-3.01
Pm  0.9010  0.7001  0.6011  6 As 2.98-3.01
Dy  0.5000  0.5000  0.0000  6 As 2.94-2.98
As  0.0000  0.0000  0.0000  4 Pm 2.98, 2 Dy 2.98
As  0.2037  0.5989  0.8026  1 Dy 2.94, 5 Pm 2.98-3.01
As  0.4011  0.2037  0.6048  1 Dy 2.94, 5 Pm 2.98-3.01
As  0.5989  0.7963  0.3952  1 Dy 2.94, 5 Pm 2.98-3.01
As  0.7963  0.4011  0.1974  1 Dy 2.94, 5 Pm 2.98-3.01

Crystal system   tetragonal
Calculated volume   26.50 Å³/atom
Formation enthalpy at 0 K   -1.526 eV per atom
Uncorrected energy   -62.11 eV for the cell shown

***

7.
Below is crystalline Pm2DyAs3 at its relaxed geometry, with properties calculated at the GGA-PBE level.

abc: 4.2003 4.2003 17.8173
angles: 90.00 90.00 90.00
With the nearest neighbours (Å) after each atom.
Positions (direct):
Pm  0.0000  0.0000  0.1663  6 As 2.96-3.01
Pm  0.0000  0.0000  0.8337  6 As 2.96-3.01
Pm  0.5000  0.5000  0.3337  6 As 2.96-3.01
Pm  0.5000  0.5000  0.6663  6 As 2.96-3.01
Dy  0.0000  0.0000  0.5000  6 As 2.93-2.97
Dy  0.5000  0.5000  0.0000  6 As 2.93-2.97
As  0.0000  0.0000  0.0000  2 Pm 2.96, 4 Dy 2.97
As  0.0000  0.0000  0.3353  1 Dy 2.93, 5 Pm 2.97-3.01
As  0.0000  0.0000  0.6647  1 Dy 2.93, 5 Pm 2.97-3.01
As  0.5000  0.5000  0.1647  1 Dy 2.93, 5 Pm 2.97-3.01
As  0.5000  0.5000  0.5000  2 Pm 2.96, 4 Dy 2.97
As  0.5000  0.5000  0.8353  1 Dy 2.93, 5 Pm 2.97-3.01

Crystal system   tetragonal
Calculated volume   26.20 Å³/atom
Formation enthalpy at 0 K   -1.524 eV per atom
Uncorrected energy   -74.39 eV for the cell shown

***

8.
Below is crystalline Pm5Dy3As8 at its relaxed geometry, with properties calculated at the GGA-PBE level.

abc: 8.3878 8.3878 8.3878
angles: 60.02 60.02 60.02
With the nearest neighbours (Å) after each atom.
Positions (direct):
Pm  0.0000  0.0000  0.0000  6 As 2.97
Pm  0.0000  0.5000  0.5000  6 As 2.99-3.00
Pm  0.5000  0.0000  0.5000  6 As 2.99-3.00
Pm  0.5000  0.5000  0.0000  6 As 2.99-3.00
Pm  0.5000  0.5000  0.5000  6 As 2.97
Dy  0.0000  0.0000  0.5000  6 As 2.94
Dy  0.0000  0.5000  0.0000  6 As 2.94
Dy  0.5000  0.0000  0.0000  6 As 2.94
As  0.2451  0.7500  0.7500  2 Dy 2.94, 4 Pm 2.97-3.00
As  0.2476  0.2476  0.2476  3 Dy 2.94, 3 Pm 2.99
As  0.2500  0.2500  0.7549  2 Dy 2.94, 4 Pm 2.97-3.00
As  0.2500  0.7549  0.2500  2 Dy 2.94, 4 Pm 2.97-3.00
As  0.7500  0.2451  0.7500  2 Dy 2.94, 4 Pm 2.97-3.00
As  0.7500  0.7500  0.2451  2 Dy 2.94, 4 Pm 2.97-3.00
As  0.7524  0.7524  0.7524  3 Dy 2.94, 3 Pm 2.99
As  0.7549  0.2500  0.2500  2 Dy 2.94, 4 Pm 2.97-3.00

Crystal system   trigonal
Calculated volume   26.09 Å³/atom
Formation enthalpy at 0 K   -1.526 eV per atom
Uncorrected energy   -99.17 eV for the cell shown